Entry 1:
Entry from the Alexandria database: an optimized crystal structure of Li2Mg2CdPd2 (PBE).

a = 4.5196 Å, b = 4.5196 Å, c = 20.6929 Å
α = 90.00°, β = 90.00°, γ = 120.00°
Last column: nearest neighbours and their distance in Å.
Space group R-3m (No. 166, hexagonal axes)
One atom of each set of equivalent atoms:
Li1 0.0000 0.0000 0.0598 x6  1 Li 2.48, 3 Pd 2.66, 3 Mg 2.71
Mg1 0.0000 0.0000 0.2384 x6  4 Pd 2.68-2.89, 3 Li 2.71, 3 Cd 3.00
Cd1 0.0000 0.0000 0.5000 x3  2 Pd 2.73, 6 Mg 3.00
Pd1 0.0000 0.0000 0.3679 x6  3 Li 2.66, 4 Mg 2.68-2.89, 1 Cd 2.73, 3 Pd 2.98

Values from the calculation:
**Spin magnetization**: 0.0 Bohr magnetons per cell
**Energy relative to the elements**: -370 meV/atom



Entry 2:
Entry from the Alexandria database: an optimized crystal structure of Li2Pm2MgCd5 (PBE).

a = 10.6096 Å, b = 10.6096 Å, c = 4.0242 Å
α = 90.00°, β = 90.00°, γ = 90.00°
Last column: nearest neighbours and their distance in Å.
Space group P4/mbm (No. 127)
One atom of each set of equivalent atoms:
Li1 0.1166 0.3834 0.0000 x4  6 Cd 2.67-2.82
Pm1 0.1810 0.6810 0.0000 x4  3 Li 3.04-3.23, 2 Cd 3.38
Mg1 0.0000 0.0000 0.0000 x2  8 Cd 3.04
Cd1 0.0000 0.5000 0.5000 x2  4 Li 2.67
Cd2 0.0585 0.2068 0.5000 x8  2 Li 2.82, 2 Mg 3.04

Values from the calculation:
**Spin magnetization**: 0.0 Bohr magnetons per cell
**Energy relative to the elements**: -251 meV/atom



The records above give, respectively, calculated density values of 5.277; 6.527 Mg/m³.